First-principles (PBE) data for a relaxed Ta2CdSbIr crystal, as listed in Alexandria.

The calculation puts the energy relative to the elements, uncorrected at 0.8024 eV per atom. The calculation puts the total magnetic moment at 0.0 μB/cell. The total energy is -6.718 eV per atom. As for the energy above the most stable polymorph in this dataset: 0.0 kJ/mol of formula units.

Unit cell a=4.9068 b=5.0749 c=4.9068 alpha=90.00 beta=90.00 gamma=90.00
With the nearest neighbours (Å) after each atom.
Fractional coordinates of all 5 atoms:
Sb1 0.5000 0.5000 0.5000  4 Cd 3.47, 8 Ta 3.53
Ir1 0.0000 0.0000 0.0000  4 Ta 2.45, 2 Cd 2.54
Cd1 0.0000 0.5000 0.0000  2 Ir 2.54
Ta1 0.0000 0.0000 0.5000  2 Ir 2.45
Ta2 0.5000 0.0000 0.0000  2 Ir 2.45